Record 1
Sr2TiAgH after structural relaxation. Source: Alexandria via LeMat-Bulk, functional PBE.

Geometry as extended XYZ:
```
5
Lattice="-4.613 -3.835 -2.071 4.105 -2.811 -3.940 0.843 -2.420 2.604" Properties=species:S:1:pos:R:3 pbc="T T T"
Sr -2.307 -1.917 -1.035
Sr 2.052 -1.405 -1.970
Ag 0.000 0.000 0.000
H 0.421 -1.210 1.302
Ti 0.167 -4.533 -1.703
```

Computed properties:
- Symmetry: P4/mmm, No. 123
- Raw total energy: -2.945 eV per atom

Record 2
Ca2UCuS6 after structural relaxation. Source: Alexandria via LeMat-Bulk, functional PBE.

Geometry as extended XYZ:
```
10
Lattice="-1.757 -5.145 3.669 6.133 -0.141 2.738 -3.766 6.034 0.503" Properties=species:S:1:pos:R:3 pbc="T T T"
S -1.523 -0.059 3.407
S 3.167 -3.430 5.304
S 0.669 4.104 3.047
S -0.058 -3.356 3.864
S 2.134 0.807 3.504
S -2.556 4.178 1.607
Ca -0.716 1.986 1.706
Ca 1.327 -1.238 5.205
U 3.067 -0.071 1.369
Cu -0.878 -2.573 1.835
```

Computed properties:
- Symmetry: C2/m, No. 12
- Raw formation energy: -1216 meV per atom

Record 3
TiFe2MoH after structural relaxation. Source: Alexandria via LeMat-Bulk, functional PBE.

Geometry as extended XYZ:
```
5
Lattice="-3.175 1.041 1.551 1.478 -0.471 3.341 1.276 3.911 -0.013" Properties=species:S:1:pos:R:3 pbc="T T T"
H 0.000 0.000 0.000
Fe -1.587 0.520 0.776
Fe 0.739 -0.236 1.670
Ti -0.211 2.240 2.440
Mo 0.638 1.955 -0.006
```

Computed properties:
- Symmetry: P4/mmm, No. 123
- Distance to the lowest polymorph of the same formula: 18 meV/atom

Record 4
Ir6Ru4Rh after structural relaxation. Source: Alexandria via LeMat-Bulk, functional PBE.

Geometry as extended XYZ:
```
11
Lattice="5.734 -2.102 -4.109 -3.926 6.090 1.295 -1.355 2.102 6.923" Properties=species:S:1:pos:R:3 pbc="T T T"
Ir -0.739 3.620 2.903
Ir -2.947 4.572 6.340
Ir 2.189 0.000 1.407
Ir 2.742 0.065 -1.206
Ir 0.904 1.994 -1.407
Ir -3.884 6.025 4.290
Rh 0.000 0.000 0.000
Ru 0.363 2.104 1.325
Ru -1.613 6.628 5.434
Ru -1.008 1.563 4.492
Ru -2.569 3.986 1.074
```

Computed properties:
- Symmetry: I-42m, No. 121
- Raw total energy: -8.439 eV per atom

Record 5
NiIr2Rh3 after structural relaxation. Source: Alexandria via LeMat-Bulk, functional PBE.

Geometry as extended XYZ:
```
12
Lattice="4.555 0.000 0.000 0.000 7.284 0.000 0.000 0.000 5.273" Properties=species:S:1:pos:R:3 pbc="T T T"
Rh 0.000 0.000 0.000
Rh 0.000 2.530 4.585
Rh 0.000 4.754 0.688
Rh 2.277 3.642 2.636
Rh 2.277 6.172 3.324
Rh 2.277 1.112 1.949
Ir 2.277 1.163 4.563
Ir 0.000 2.479 1.927
Ir 0.000 4.805 3.346
Ir 2.277 6.121 0.710
Ni 2.277 3.642 0.000
Ni 0.000 0.000 2.636
```

Computed properties:
- Symmetry: Pnnm, No. 58
- Distance to the lowest polymorph of the same formula: 0 meV/atom

Record 6
KPaPdO4 after structural relaxation. Source: Alexandria via LeMat-Bulk, functional PBE.

Geometry as extended XYZ:
```
14
Lattice="-0.462 -3.307 -5.063 1.076 -3.988 6.140 -6.323 2.588 -1.113" Properties=species:S:1:pos:R:3 pbc="T T T"
O -4.998 0.754 -2.140
O -1.525 -3.167 -1.424
O -0.516 -4.071 4.234
O -3.886 -2.201 -1.840
O -1.823 -2.507 1.804
O -0.711 -5.462 2.105
O -5.193 -0.637 -4.270
O -4.184 -1.541 1.388
K -5.589 0.351 0.281
K -0.120 -5.059 -0.317
Pd -2.623 -0.700 2.513
Pd -2.855 -2.354 -0.018
Pa -0.231 -1.654 -2.531
Pa -3.393 -0.360 -3.088
```

Computed properties:
- Symmetry: Imma, No. 74
- Raw formation energy: -2209 meV per atom

Number 1: total magnetic moment 3.6 Bohr magnetons per cell. Number 2: total magnetic moment 0.5 Bohr magnetons per cell. Number 3: total magnetic moment 3.1 Bohr magnetons per cell. Number 4: total magnetic moment 0.0 Bohr magnetons per cell. Number 5: total magnetic moment 0.0 Bohr magnetons per cell. Number 6: total magnetic moment 0.0 Bohr magnetons per cell.